# 1
This record from the Open Quantum Materials Database describes a geometry-optimized SmMgBe structure. The functional is PBE-GGA.

Structure (extended XYZ):
```
3
Lattice="0.000 3.411 3.411 3.411 0.000 3.411 3.411 3.411 0.000" Properties=species:S:1:pos:R:3 pbc="T T T"
Sm 0.000 0.000 0.000
Mg 1.706 1.706 1.706
Be 5.117 5.117 5.117
```

Computed properties:
Its total energy is -2.498 eV/atom. As for the total magnetization: 0.0 μB/f.u.

---

# 2
This record from the Open Quantum Materials Database describes a geometry-optimized SmMg4Be8 structure. The functional is PBE-GGA.

Structure (extended XYZ):
```
13
Lattice="-4.374 4.374 2.380 4.374 -4.374 2.380 4.374 4.374 -2.380" Properties=species:S:1:pos:R:3 pbc="T T T"
Sm 0.000 0.000 0.000
Mg 4.374 2.267 0.000
Mg 2.267 4.374 0.000
Mg 2.106 0.000 2.380
Mg 0.000 2.106 2.380
Be 2.187 2.187 -1.190
Be 3.105 0.000 0.000
Be 2.187 -2.187 1.190
Be 5.642 0.000 0.000
Be 0.000 3.105 0.000
Be -2.187 2.187 1.190
Be 2.187 2.187 1.190
Be 0.000 5.642 0.000
```

Computed properties:
Its total energy is -2.842 eV/atom. As for the total magnetization: 0.0 μB/f.u.

---

# 3
This record from the Open Quantum Materials Database describes a geometry-optimized SmMgBe structure. The functional is PBE-GGA.

Structure (extended XYZ):
```
3
Lattice="0.000 3.316 3.316 3.316 0.000 3.316 3.316 3.316 0.000" Properties=species:S:1:pos:R:3 pbc="T T T"
Sm 0.000 0.000 0.000
Mg 4.974 4.974 4.974
Be 3.316 3.316 3.316
```

Computed properties:
Its total energy is -2.710 eV/atom. As for the total magnetization: 0.0 μB/f.u.

---

# 4
This record from the Open Quantum Materials Database describes a geometry-optimized SmMg4Be8 structure. The functional is PBE-GGA.

Structure (extended XYZ):
```
13
Lattice="-4.299 4.299 2.401 4.299 -4.299 2.401 4.299 4.299 -2.401" Properties=species:S:1:pos:R:3 pbc="T T T"
Sm 0.000 0.000 0.000
Mg 2.944 0.000 0.000
Mg 5.654 0.000 0.000
Mg 0.000 2.944 0.000
Mg 0.000 5.654 0.000
Be 2.150 2.150 -1.200
Be 2.150 -2.150 1.200
Be 4.299 2.566 0.000
Be -2.150 2.150 1.200
Be 2.566 4.299 0.000
Be 2.150 2.150 1.200
Be 1.733 0.000 2.401
Be 0.000 1.733 2.401
```

Computed properties:
Its total energy is -2.989 eV/atom. As for the total magnetization: 0.0 μB/f.u.

---

# 5
This record from the Open Quantum Materials Database describes a geometry-optimized SmMg4Be8 structure. The functional is PBE-GGA.

Structure (extended XYZ):
```
13
Lattice="-4.176 4.176 2.734 4.176 -4.176 2.734 4.176 4.176 -2.734" Properties=species:S:1:pos:R:3 pbc="T T T"
Sm 0.000 0.000 0.000
Mg 2.088 2.088 -1.367
Mg 2.088 -2.088 1.367
Mg -2.088 2.088 1.367
Mg 2.088 2.088 1.367
Be 3.108 0.000 0.000
Be 5.244 0.000 0.000
Be 4.176 2.375 0.000
Be 0.000 3.108 0.000
Be 2.375 4.176 0.000
Be 1.801 0.000 2.734
Be 0.000 5.244 0.000
Be 0.000 1.801 2.734
```

Computed properties:
Its total energy is -2.761 eV/atom. As for the total magnetization: 0.0 μB/f.u.

---

# 6
This record from the Open Quantum Materials Database describes a geometry-optimized SmMg4Be4Zn4 structure. The functional is PBE-GGA.

Structure (extended XYZ):
```
13
Lattice="-4.477 4.477 2.493 4.477 -4.477 2.493 4.477 4.477 -2.493" Properties=species:S:1:pos:R:3 pbc="T T T"
Sm 0.000 0.000 0.000
Mg 3.076 0.000 0.000
Mg 5.878 0.000 0.000
Mg 0.000 3.076 0.000
Mg 0.000 5.878 0.000
Be 2.239 2.239 -1.246
Be 2.239 -2.239 1.246
Be -2.239 2.239 1.246
Be 2.239 2.239 1.246
Zn 4.477 2.566 0.000
Zn 2.566 4.477 0.000
Zn 1.912 0.000 2.493
Zn 0.000 1.912 2.493
```

Computed properties:
Its total energy is -2.413 eV/atom. As for the total magnetization: 0.0 μB/f.u.

---

- Which value of total magnetization does entry 3 give?
  0.0 μB/f.u.

---

- What is the formula in the third record?
  SmMgBe

---

- Look up the total magnetization of the fourth one.
  0.0 μB/f.u.